Here is a geometry-optimized TaAg2GeF structure from Alexandria via LeMat-Bulk. Energies are from GGA-PBE.

Unit cell a=4.8244 b=4.8244 c=5.0164 alpha=90.00 beta=90.00 gamma=90.00
Last column: nearest neighbours and their distance in Å.
Space group P4/mmm (No. 123)
One atom of each set of equivalent atoms:
Ta1 0.0000 0.0000 0.0000 (multiplicity 1)  2 Ge 2.51
Ag1 0.0000 0.5000 0.5000 (multiplicity 2)  2 Ge 2.41
Ge1 0.0000 0.0000 0.5000 (multiplicity 1)  4 Ag 2.41, 2 Ta 2.51
F1 0.5000 0.5000 0.0000 (multiplicity 1)  4 Ta 3.41, 8 Ag 3.48

Properties
Size of the total moment ... 1.9 Bohr magnetons per cell
Density of states at the Fermi level ... 1.98 states/eV/cell
Raw formation energy ... 305.9 kJ/mol of formula units
Crystal system ... tetragonal
Density ... 6.95 g/cm3
VASP energy ... -4.1746 eV per atom